<A>
Entry from the Alexandria database: a geometry-optimized VCr3B structure (PBE-GGA).

Cell lengths 4.154, 4.154, 4.154 Å; angles 90.00, 90.00, 90.00 degrees
Site moments in Bohr magnetons follow the coordinates.
Sites, in units of the cell vectors:
Cr: 0.000 0.500 0.000  0.74
Cr: 0.000 0.000 0.500  0.74
Cr: 0.500 0.000 0.000  0.74
B: 0.500 0.500 0.500  -0.10
V: 0.000 0.000 0.000  -0.22

Values from the calculation:
For the density of states at the Fermi level, the calculation gives 6.9 states/eV/cell. Its magnetic moment is 1.9 μB/cell.

<B>
Entry from the Alexandria database: a geometry-optimized VCr3B structure (PBE-GGA).

Cell lengths 3.885, 3.885, 3.885 Å; angles 90.00, 90.00, 90.00 degrees
Sites, in units of the cell vectors:
Cr: 0.000 0.500 0.000
Cr: 0.000 0.000 0.500
Cr: 0.500 0.000 0.000
B: 0.000 0.000 0.000
V: 0.500 0.500 0.500

Values from the calculation:
For the density of states at the Fermi level, the calculation gives 8.1 states/eV/cell. Its magnetic moment is 0.0 μB/cell.

Stability, lowest: <A>

<A>
Entry from the Alexandria database: a geometry-optimized VCrBW2 structure (PBE-GGA).

Cell lengths 4.555, 3.797, 4.555 Å; angles 90.00, 90.00, 90.00 degrees
Site moments in Bohr magnetons follow the coordinates.
Sites, in units of the cell vectors:
Cr: 0.500 0.500 0.500  -0.12
B: 0.000 0.500 0.000  -0.01
W: 0.000 0.000 0.500  0.06
W: 0.500 0.000 0.000  0.07
V: 0.000 0.000 0.000  -0.02

Values from the calculation:
For the density of states at the Fermi level, the calculation gives 8.7 states/eV/cell. Its magnetic moment is 0.0 μB/cell.

<B>
Entry from the Alexandria database: a geometry-optimized VCrBW2 structure (PBE-GGA).

Cell lengths 4.277, 3.715, 4.277 Å; angles 90.00, 90.00, 90.00 degrees
Sites, in units of the cell vectors:
Cr: 0.000 0.500 0.000
B: 0.000 0.000 0.000
W: 0.000 0.000 0.500
W: 0.500 0.000 0.000
V: 0.500 0.500 0.500

Values from the calculation:
For the density of states at the Fermi level, the calculation gives 5.4 states/eV/cell. Its magnetic moment is 0.0 μB/cell.

Stability, lowest: <A>

<A>
Entry from the Alexandria database: a geometry-optimized CrB3W structure (PBE-GGA).

Cell lengths 4.050, 4.050, 4.050 Å; angles 90.00, 90.00, 90.00 degrees
Sites, in units of the cell vectors:
Cr: 0.500 0.500 0.500
B: 0.000 0.500 0.000
B: 0.000 0.000 0.500
B: 0.500 0.000 0.000
W: 0.000 0.000 0.000

Values from the calculation:
For the density of states at the Fermi level, the calculation gives 10.9 states/eV/cell. Its magnetic moment is 0.0 μB/cell.

<B>
Entry from the Alexandria database: a geometry-optimized CrB3W structure (PBE-GGA).

Cell lengths 3.723, 3.723, 3.723 Å; angles 90.00, 90.00, 90.00 degrees
Sites, in units of the cell vectors:
Cr: 0.000 0.000 0.000
B: 0.000 0.500 0.000
B: 0.000 0.000 0.500
B: 0.500 0.000 0.000
W: 0.500 0.500 0.500

Values from the calculation:
For the density of states at the Fermi level, the calculation gives 3.2 states/eV/cell. Its magnetic moment is 0.0 μB/cell.

Stability, lowest: <A>